[1]
## PuScSe2 (PBE)

Data for a geometry-optimized PuScSe2 structure.

Values from the calculation:
Raw formation energy = -6.3 eV per formula unit

Cell: 3.9694 3.9694 19.9707 Å, 90.00 90.00 120.00°
Space group R-3m (No. 166, hexagonal axes)
Unique sites:
Pu (0.0000, 0.0000, 0.0000)
Sc (0.0000, 0.0000, 0.5000)
Se (0.0000, 0.0000, 0.2433)

[2]
## Eu3Al5F12 (PBE)

Data for a geometry-optimized Eu3Al5F12 structure.

Values from the calculation:
Raw formation energy = -48.5 eV per formula unit

Cell: 14.099 14.099 14.099 Å, 90.00 90.00 90.00°
Space group Ia-3d (No. 230)
Unique sites:
Eu (0.000, 0.250, 0.125)
Al (0.000, 0.000, 0.000)
Al (0.000, 0.250, 0.375)
F (0.015, 0.068, 0.659)

[3]
## Rb2BAuCl6 (PBE)

Data for a geometry-optimized Rb2BAuCl6 structure.

Values from the calculation:
Raw formation energy = -9.2 eV per formula unit

Cell: 7.343 7.343 10.904 Å, 90.00 90.00 90.00°
Space group I4/mmm (No. 139)
Unique sites:
Rb (0.000, 0.500, 0.250)
B (0.000, 0.000, 0.000)
Au (0.000, 0.000, 0.500)
Cl (0.000, 0.000, 0.288)
Cl (0.192, 0.192, 0.000)

[4]
## ZrCuSbI2 (PBE)

Data for a geometry-optimized ZrCuSbI2 structure.

Values from the calculation:
Raw formation energy = 1.6 eV per formula unit

Cell: 5.621 5.621 5.798 Å, 90.00 90.00 90.00°
Space group P4/mmm (No. 123)
Unique sites:
Zr (0.000, 0.000, 0.000)
Cu (0.500, 0.500, 0.500)
Sb (0.000, 0.000, 0.500)
I (0.000, 0.500, 0.000)

[5]
## Mg3NiPb (PBE)

Data for a geometry-optimized Mg3NiPb structure.

Values from the calculation:
Formation energy from the elements = 0.8534 eV/atom

Cell: 5.335 5.335 5.335 Å, 90.00 90.00 90.00°
Space group Pm-3m (No. 221)
Unique sites:
Mg (0.000, 0.000, 0.500)
Ni (0.500, 0.500, 0.500)
Pb (0.000, 0.000, 0.000)

[6]
## ZrPCNO3F3 (PBE)

Data for a geometry-optimized ZrPCNO3F3 structure.

Values from the calculation:
Raw formation energy = -18.6 eV per formula unit

Cell: 5.341 6.310 10.715 Å, 93.86 101.48 91.24°
Space group P-1 (No. 2)
Unique sites:
Zr (0.000, 0.000, 0.000)
Zr (0.000, 0.000, 0.500)
P (0.407, 0.830, 0.292)
C (0.479, 0.566, 0.251)
N (0.471, 0.610, 0.771)
O (0.220, 0.821, 0.382)
O (0.276, 0.928, 0.171)
O (0.342, 0.057, 0.642)
F (0.053, 0.714, 0.918)
F (0.088, 0.261, 0.425)
F (0.265, 0.134, 0.917)

[7]
## CoReTc2 (PBE)

Data for a geometry-optimized CoReTc2 structure.

Values from the calculation:
Formation energy from the elements = 0.0445 eV/atom

Cell: 3.820 3.820 7.501 Å, 90.00 90.00 90.00°
Space group I4/mmm (No. 139)
Unique sites:
Co (0.000, 0.000, 0.000)
Re (0.000, 0.000, 0.500)
Tc (0.000, 0.500, 0.250)

[8]
## ZnTe2PbI (PBE)

Data for a geometry-optimized ZnTe2PbI structure.

Values from the calculation:
Raw formation energy = 2.3 eV per formula unit

Cell: 5.933 5.933 6.165 Å, 90.00 90.00 90.00°
Space group P4/mmm (No. 123)
Unique sites:
Zn (0.000, 0.000, 0.000)
Te (0.000, 0.500, 0.500)
Pb (0.500, 0.500, 0.500)
I (0.500, 0.500, 0.000)

[9]
## KZr2Tc (PBE)

Data for a geometry-optimized KZr2Tc structure.

Values from the calculation:
Formation energy from the elements = 0.9704 eV/atom

Cell: 4.877 4.877 3.621 Å, 90.00 90.00 90.00°
Space group P4/mmm (No. 123)
Unique sites:
K (0.000, 0.000, 0.000)
Zr (0.000, 0.500, 0.500)
Tc (0.500, 0.500, 0.000)

[10]
## NaNiAs2Ir (PBE)

Data for a geometry-optimized NaNiAs2Ir structure.

Values from the calculation:
Formation energy from the elements = -0.3153 eV/atom

Cell: 3.963 3.963 11.972 Å, 90.00 90.00 90.00°
Space group I-4m2 (No. 119)
Unique sites:
Na (0.000, 0.000, 0.000)
Ni (0.000, 0.500, 0.750)
As (0.000, 0.000, 0.367)
Ir (0.000, 0.500, 0.250)

[11]
## Zn2SiTe (PBE)

Data for a geometry-optimized Zn2SiTe structure.

Values from the calculation:
Raw formation energy = 1.1 eV per formula unit

Cell: 3.799 3.799 5.850 Å, 90.00 90.00 90.00°
Space group P4mm (No. 99)
Unique sites:
Zn (0.000, 0.000, 0.000)
Zn (0.500, 0.500, 0.421)
Si (0.000, 0.000, 0.431)
Te (0.500, 0.500, 0.903)

no.,energy (eV per atom),volume (Å³ per cell)
1,-8.4830,273
2,-6.0227,2802
3,-3.2195,588
4,-3.6462,183
5,-2.0013,152
6,-7.0604,353
7,-10.0270,109
8,-2.1101,217
9,-6.1695,86
10,-5.3674,188
11,-2.5084,84